No. 1
Density functional theory data (PBE-GGA) for a relaxed structure of Nd3HoHg4.

Distance to the lowest polymorph of the same formula: 143 meV per atom
M_tot: 0.000 μB per atom
Theoretical density: 9.623 g/cm³
ΔE_f: -0.330 eV per atom

Cell lengths 9.1860, 9.1860, 9.1860 Å; angles 155.68, 130.49, 55.91 degrees
Fractional coordinates of all 8 atoms:
Nd1 0.0000 0.0000 0.0000
Nd2 0.2989 0.7989 0.5000
Nd3 0.7011 0.2011 0.5000
Ho1 0.5000 0.5000 0.0000
Hg1 0.0769 0.3715 0.7055
Hg2 0.3340 0.6285 0.7055
Hg3 0.6660 0.3715 0.2945
Hg4 0.9231 0.6285 0.2945

No. 2
Density functional theory data (PBE-GGA) for a relaxed structure of LaGa2Pt2Au.

M_tot: 0.000 μB per atom
Theoretical density: 11.070 g/cm³
ΔE_f: -0.378 eV per atom

Cell lengths 4.7633, 4.7633, 5.7220 Å; angles 90.00, 90.00, 90.00 degrees
Fractional coordinates of all 6 atoms:
La1 0.0000 0.0000 0.0000
Ga1 0.0000 0.5000 0.5000
Ga2 0.5000 0.0000 0.5000
Pt1 0.5000 0.5000 0.2390
Pt2 0.5000 0.5000 0.7610
Au1 0.0000 0.0000 0.5000

No. 3
Density functional theory data (PBE-GGA) for a relaxed structure of Np2TcH.

Distance to the lowest polymorph of the same formula: 0 meV per atom
M_tot: 0.000 μB per atom
Theoretical density: 16.336 g/cm³

Cell lengths 3.0762, 3.0762, 6.1551 Å; angles 90.00, 90.00, 90.00 degrees
Fractional coordinates of all 4 atoms:
Np1 0.0000 0.0000 0.1928
Np2 0.0000 0.0000 0.8072
Tc1 0.5000 0.5000 0.5000
H1 0.5000 0.5000 0.0000

No. 4
Density functional theory data (PBE-GGA) for a relaxed structure of Tm3Cd2Co2.

M_tot: 0.202 μB per atom
Theoretical density: 9.346 g/cm³
ΔE_f: -0.287 eV per atom

Cell lengths 10.7722, 10.7722, 3.7720 Å; angles 90.00, 90.00, 159.83 degrees
Fractional coordinates of all 7 atoms:
Tm1 0.0000 0.0000 0.0000
Tm2 0.1764 0.8236 0.0000
Tm3 0.8236 0.1764 0.0000
Cd1 0.4128 0.5872 0.5000
Cd2 0.5872 0.4128 0.5000
Co1 0.2771 0.7229 0.5000
Co2 0.7229 0.2771 0.5000

No. 5
Density functional theory data (PBE-GGA) for a relaxed structure of ReRu2Au.

Distance to the lowest polymorph of the same formula: 277 meV per atom
M_tot: 0.000 μB per atom
Theoretical density: 15.634 g/cm³
ΔE_f: 0.416 eV per atom

Cell lengths 2.7151, 2.7151, 9.4272 Å; angles 90.00, 90.00, 116.55 degrees
Fractional coordinates of all 4 atoms:
Re1 0.0000 0.0000 0.0000
Ru1 0.5000 0.5000 0.2336
Ru2 0.5000 0.5000 0.7664
Au1 0.0000 0.0000 0.5000

No. 6
Density functional theory data (PBE-GGA) for a relaxed structure of SrCaTiCr2.

M_tot: 1.251 μB per atom
Theoretical density: 3.161 g/cm³
ΔE_f: 1.830 eV per atom

Cell lengths 5.1225, 5.1225, 5.5961 Å; angles 90.00, 90.00, 90.00 degrees
Fractional coordinates of all 5 atoms:
Sr1 0.0000 0.0000 0.0000
Ca1 0.0000 0.0000 0.5000
Ti1 0.5000 0.5000 0.0000
Cr1 0.0000 0.5000 0.5000
Cr2 0.5000 0.0000 0.5000

No. 7
Density functional theory data (PBE-GGA) for a relaxed structure of NaCa2LaO.

M_tot: 0.000 μB per atom
Theoretical density: 2.914 g/cm³
Uncorrected formation energy: -0.930 eV per atom

Cell lengths 5.5768, 5.5768, 4.7282 Å; angles 90.00, 90.00, 90.00 degrees
Fractional coordinates of all 5 atoms:
Na1 0.0000 0.0000 0.0000
Ca1 0.0000 0.5000 0.5000
Ca2 0.5000 0.0000 0.5000
La1 0.5000 0.5000 0.0000
O1 0.5000 0.5000 0.5000

No. 8
Density functional theory data (PBE-GGA) for a relaxed structure of Nb2VAg.

Distance to the lowest polymorph of the same formula: 566 meV per atom
M_tot: 0.054 μB per atom
Theoretical density: 7.789 g/cm³
ΔE_f: 0.750 eV per atom

Cell lengths 10.1186, 10.1186, 10.1186 Å; angles 157.87, 157.87, 31.50 degrees
Fractional coordinates of all 8 atoms:
Nb1 0.1117 0.6250 0.9867
Nb2 0.3750 0.3617 0.4867
Nb3 0.6383 0.1250 0.0133
Nb4 0.8750 0.8883 0.5133
V1 0.0000 0.0000 0.0000
V2 0.7500 0.2500 0.5000
Ag1 0.2500 0.7500 0.5000
Ag2 0.5000 0.5000 0.0000

No. 9
Density functional theory data (PBE-GGA) for a relaxed structure of DyLuHg2.

Distance to the lowest polymorph of the same formula: 0 meV per atom
M_tot: 0.034 μB per atom
Theoretical density: 12.257 g/cm³
ΔE_f: -0.475 eV per atom

Cell lengths 3.6629, 3.6629, 7.4584 Å; angles 90.00, 90.00, 90.00 degrees
Fractional coordinates of all 4 atoms:
Dy1 0.0000 0.0000 0.0000
Lu1 0.0000 0.0000 0.5000
Hg1 0.5000 0.5000 0.2601
Hg2 0.5000 0.5000 0.7399

No. 10
Density functional theory data (PBE-GGA) for a relaxed structure of Pr7Dy3Tm2.

M_tot: 0.000 μB per atom
Theoretical density: 6.916 g/cm³
ΔE_f: 0.271 eV per atom

Cell lengths 6.3656, 5.5725, 12.2633 Å; angles 90.00, 90.14, 90.00 degrees
Fractional coordinates of all 12 atoms:
Pr1 0.0000 0.0000 0.0000
Pr2 0.0939 0.5000 0.1726
Pr3 0.2478 0.5000 0.4543
Pr4 0.4426 0.0000 0.1876
Pr5 0.5574 0.0000 0.8124
Pr6 0.7522 0.5000 0.5457
Pr7 0.9061 0.5000 0.8274
Dy1 0.0712 0.0000 0.6566
Dy2 0.5000 0.5000 0.0000
Dy3 0.9288 0.0000 0.3434
Tm1 0.3759 0.5000 0.7253
Tm2 0.6241 0.5000 0.2747

No. 11
Density functional theory data (PBE-GGA) for a relaxed structure of CaPt2Au2.

Distance to the lowest polymorph of the same formula: 0 meV per atom
M_tot: 0.000 μB per atom
Theoretical density: 13.391 g/cm³
ΔE_f: -0.383 eV per atom

Cell lengths 13.5045, 13.5045, 13.5045 Å; angles 163.25, 163.25, 23.77 degrees
Fractional coordinates of all 10 atoms:
Ca1 0.1214 0.1214 0.0000
Ca2 0.8786 0.8786 0.0000
Pt1 0.2500 0.7500 0.5000
Pt2 0.4237 0.4237 0.0000
Pt3 0.5763 0.5763 0.0000
Pt4 0.7500 0.2500 0.5000
Au1 0.0000 0.5000 0.5000
Au2 0.3255 0.3255 0.0000
Au3 0.5000 0.0000 0.5000
Au4 0.6745 0.6745 0.0000

No. 12
Density functional theory data (PBE-GGA) for a relaxed structure of Zr2AgHgTe.

M_tot: 0.014 μB per atom
Theoretical density: 7.122 g/cm³
Uncorrected formation energy: 0.664 eV per atom

Cell lengths 5.3431, 5.3431, 5.0512 Å; angles 90.00, 90.00, 90.00 degrees
Fractional coordinates of all 5 atoms:
Zr1 0.0000 0.5000 0.0000
Zr2 0.5000 0.0000 0.0000
Ag1 0.0000 0.0000 0.5000
Hg1 0.0000 0.0000 0.0000
Te1 0.5000 0.5000 0.5000

- The highest M_tot belongs to which entry?
  SrCaTiCr2